Below is crystalline PaPtAu3 at its relaxed geometry, with properties calculated at the GGA-PBE level.

Results
- crystal system = monoclinic
- raw total energy (eV/atom) = -5.5784
- total moment (μB/atom) = 0.0000
- energy of formation (meV per atom) = -505
- Fermi-level density of states (states/eV/cell) = 7.18
- theoretical density (g cm⁻³) = 16.93

abc: 4.276 6.582 7.207
angles: 100.35 90.00 90.00
Positions (direct):
Pa (0.881, 0.021, 0.607)
Pa (0.381, 0.654, 0.199)
Au (0.381, 0.359, 0.761)
Au (0.881, 0.477, 0.448)
Au (0.381, 0.197, 0.358)
Au (0.381, 0.006, 0.950)
Au (0.881, 0.316, 0.045)
Au (0.881, 0.669, 0.856)
Pt (0.881, 0.937, 0.210)
Pt (0.381, 0.737, 0.596)

***

Below is crystalline PaPtAu4 at its relaxed geometry, with properties calculated at the GGA-PBE level.

Results
- crystal system = cubic
- raw total energy (eV/atom) = -5.0253
- total moment (μB/atom) = 0.0000
- energy of formation (meV per atom) = -251
- Fermi-level density of states (states/eV/cell) = 4.57
- theoretical density (g cm⁻³) = 17.34

abc: 5.478 5.478 5.478
angles: 60.00 60.00 60.00
Positions (direct):
Au (0.124, 0.625, 0.625)
Au (0.625, 0.625, 0.124)
Au (0.625, 0.124, 0.625)
Au (0.625, 0.625, 0.625)
Pt (0.000, 0.000, 0.000)
Pa (0.250, 0.250, 0.250)